First-principles (GGA+U) data for an optimized crystal structure of BaVSiO6, as listed in Alexandria via LeMat-Bulk.

The total DFT energy (no corrections) is -64.27 eV/cell.

It has space group P312 (No. 149), with a = 5.0070 Å, b = 5.0070 Å, c = 5.6945 Å, α = 90.00°, β = 90.00° and γ = 120.00°. The asymmetric unit holds Ba at (0.0000, 0.0000, 0.0000), V at (0.3333, 0.6667, 0.5000), Si at (0.6667, 0.3333, 0.5000) and O at (0.4046, 0.0150, 0.6800).